(1)
{
  "formula": "Ba2TiB",
  "functional": "PBE",
  "state": "relaxed",
  "magnetic_moment_mub_per_cell": 4.16,
  "volume_a3_per_atom": 37.6,
  "space_group": "I-42d, No. 122",
  "e_form_mev_per_atom": 612,
  "cell": [[-7.2835, -6.3921, 6.4923], [9.0634, -4.2354, 5.9979], [0.7139, -3.6491, 7.6866]],
  "species": ["Ba", "Ba", "Ba", "Ba", "B", "B", "Ti", "Ti"],
  "fractional_positions": [[0.4478, 0.1250, 0.2500], [0.3022, 0.6250, 0.2500], [0.8750, 0.6978, 0.7500], [0.3750, 0.5522, 0.7500], [0.2500, 0.7500, 0.5000], [0.5000, 0.5000, 0.0000], [0.7500, 0.2500, 0.5000], [0.0000, 0.0000, 0.0000]]
}



(2)
{
  "formula": "Ba2TiB2",
  "functional": "PBE",
  "state": "relaxed",
  "magnetic_moment_mub_per_cell": 2.01,
  "volume_a3_per_atom": 29.0,
  "space_group": "I4/mmm, No. 139",
  "e_form_mev_per_atom": 1640,
  "cell": [[5.1533, 0.0000, 0.0000], [0.0000, 5.1533, 0.0000], [2.5767, 2.5767, 5.4640]],
  "species": ["Ba", "Ba", "B", "B", "Ti"],
  "fractional_positions": [[0.6457, 0.6457, 0.7085], [0.3543, 0.3543, 0.2915], [0.7500, 0.2500, 0.5000], [0.2500, 0.7500, 0.5000], [0.0000, 0.0000, 0.0000]]
}



(3)
{
  "formula": "Ba3TiB",
  "functional": "PBE",
  "state": "relaxed",
  "magnetic_moment_mub_per_cell": 4.04,
  "volume_a3_per_atom": 41.7,
  "space_group": "Pm-3m, No. 221",
  "e_form_mev_per_atom": 876,
  "cell": [[5.9298, 0.0000, 0.0000], [0.0000, 5.9298, 0.0000], [0.0000, 0.0000, 5.9298]],
  "species": ["Ba", "Ba", "Ba", "Ti", "B"],
  "fractional_positions": [[0.0000, 0.5000, 0.0000], [0.0000, 0.0000, 0.5000], [0.5000, 0.0000, 0.0000], [0.5000, 0.5000, 0.5000], [0.0000, 0.0000, 0.0000]]
}



(4)
{
  "formula": "BaTi2B",
  "functional": "PBE",
  "state": "relaxed",
  "magnetic_moment_mub_per_cell": 4.72,
  "volume_a3_per_atom": 27.3,
  "space_group": "Fd-3m, No. 227",
  "e_form_mev_per_atom": 594,
  "cell": [[6.7581, 0.0000, 0.0000], [0.0000, 6.7581, 0.0000], [3.3791, 3.3791, 4.7838]],
  "species": ["Ti", "Ti", "Ti", "Ti", "Ba", "Ba", "B", "B"],
  "fractional_positions": [[0.3753, 0.6250, 0.2500], [0.8750, 0.6247, 0.7500], [0.3750, 0.6253, 0.7500], [0.3747, 0.1250, 0.2500], [0.0000, 0.0000, 0.0000], [0.7500, 0.2500, 0.5000], [0.5000, 0.5000, 0.0000], [0.2500, 0.7500, 0.5000]]
}



What is the formula in the second record? Ba2TiB2